A plane-wave DFT calculation with PBE with a Hubbard U was carried out for RbReMoO2 after structural relaxation.

Lattice parameters (Å, degrees): 3.9852 6.8529 3.9852 90.00 90.00 90.00
With the nearest neighbours (Å) after each atom.
Sites, in units of the cell vectors:
O1 0.5000 0.0000 0.0000  2 Re 1.99
O2 0.0000 0.0000 0.5000  2 Re 1.99
Mo1 0.5000 0.5000 0.5000  4 Rb 2.82
Re1 0.0000 0.0000 0.0000  4 O 1.99
Rb1 0.0000 0.5000 0.0000  4 Mo 2.82

Output
E_tot: -5.549 eV/atom
Magnetization: 5.61 μB/f.u.
SG: P4/mmm
V: 21.77 Å³/atom
Density: 6.10 g/cm³